No. 1
{"formula": "SrHoBi", "functional": "PBE", "state": "relaxed", "lattice": [[-1.452, 3.933, -2.084], [-0.235, -2.527, -4.606], [-4.208, 0.117, 3.152]], "species": ["Sr", "Bi", "Ho"], "fractional_positions": [[0.652, 0.667, 0.333], [0.203, 0.333, 0.667], [0.144, 0.000, 0.000]], "crystal_system": "trigonal", "total_magnetization_mub_per_cell": 0.00, "formation_enthalpy_0k_kcal_per_mol_atoms": -8.11, "final_energy_ev_per_atom": -3.732}

=====

No. 2
{"formula": "SrAc2WN4", "functional": "PBE", "state": "relaxed", "lattice": [[3.667, 0.000, 0.000], [-1.833, 6.464, 0.000], [0.000, 0.000, 13.240]], "species": ["N", "N", "N", "N", "N", "N", "N", "N", "Ac", "Ac", "Ac", "Ac", "Sr", "Sr", "W", "W"], "fractional_positions": [[0.000, 0.000, 0.500], [0.730, 0.461, 0.637], [0.270, 0.539, 0.137], [0.388, 0.775, 0.750], [0.612, 0.225, 0.250], [0.730, 0.461, 0.863], [0.270, 0.539, 0.363], [0.000, 0.000, 0.000], [0.632, 0.263, 0.038], [0.368, 0.737, 0.962], [0.368, 0.737, 0.538], [0.632, 0.263, 0.462], [0.091, 0.182, 0.750], [0.909, 0.818, 0.250], [0.818, 0.636, 0.750], [0.182, 0.364, 0.250]], "crystal_system": "orthorhombic", "total_magnetization_mub_per_cell": 0.74, "final_energy_ev_per_atom": -7.778, "e_form_raw_ev_per_atom": -0.759}

=====

No. 3
{"formula": "NaMnTl2Cl5", "functional": "PBE", "state": "relaxed", "lattice": [[-0.435, -3.965, 0.413], [7.481, 1.673, 4.471], [-7.934, 2.168, 12.463]], "species": ["Cl", "Cl", "Cl", "Cl", "Cl", "Cl", "Cl", "Cl", "Cl", "Cl", "Tl", "Tl", "Tl", "Tl", "Mn", "Mn", "Na", "Na"], "fractional_positions": [[0.302, 0.604, 0.416], [0.078, 0.156, 0.060], [0.266, 0.532, 0.641], [0.922, 0.844, 0.560], [0.492, 0.984, 0.783], [0.364, 0.727, 0.995], [0.636, 0.273, 0.495], [0.734, 0.468, 0.141], [0.698, 0.396, 0.916], [0.508, 0.016, 0.283], [0.085, 0.169, 0.660], [0.915, 0.831, 0.160], [0.145, 0.291, 0.292], [0.855, 0.709, 0.792], [0.222, 0.443, 0.025], [0.778, 0.557, 0.525], [0.537, 0.073, 0.952], [0.463, 0.927, 0.452]], "crystal_system": "orthorhombic", "total_magnetization_mub_per_cell": 10.00, "final_energy_ev_per_atom": -3.904, "e_form_raw_ev_per_atom": -1.187}

=====

No. 4
{"formula": "HoGa4Ir2", "functional": "PBE", "state": "relaxed", "lattice": [[-3.709, 0.496, -1.650], [2.650, -2.766, -6.786], [-1.940, -7.224, 2.187]], "species": ["Ga", "Ga", "Ga", "Ga", "Ga", "Ga", "Ga", "Ga", "Ir", "Ir", "Ir", "Ir", "Ho", "Ho"], "fractional_positions": [[0.500, 0.171, 0.586], [0.000, 0.671, 0.914], [0.000, 0.329, 0.086], [0.000, 0.086, 0.329], [0.500, 0.414, 0.829], [0.500, 0.586, 0.171], [0.000, 0.914, 0.671], [0.500, 0.829, 0.414], [0.000, 0.215, 0.785], [0.500, 0.715, 0.715], [0.000, 0.785, 0.215], [0.500, 0.285, 0.285], [0.500, 0.000, 0.000], [0.000, 0.500, 0.500]], "crystal_system": "tetragonal", "total_magnetization_mub_per_cell": 0.00, "formation_enthalpy_0k_kcal_per_mol_atoms": -12.66, "e_above_lowest_polymorph_mev_per_atom": 81, "final_energy_ev_per_atom": -5.464}